Below is a relaxed TbPuFe2O6 crystal, with properties calculated at the GGA+U level.

a b c (Å): 5.603 5.626 8.309
angles (deg): 90.00 90.92 90.00
Element x y z (fractional)
Fe: 0.519 0.471 0.246
O: 0.172 0.155 0.427
O: 0.146 0.177 0.080
Pu: 0.500 0.000 0.500
O: 0.354 0.677 0.420
Pu: 0.000 0.500 0.000
Tb: 0.000 0.500 0.500
O: 0.867 0.617 0.246
O: 0.367 0.883 0.746
Fe: 0.981 0.971 0.254
O: 0.828 0.845 0.573
Tb: 0.500 0.000 0.000
Fe: 0.481 0.529 0.754
O: 0.672 0.345 0.927
Fe: 0.019 0.029 0.746
O: 0.328 0.655 0.073
O: 0.646 0.323 0.580
O: 0.854 0.823 0.920
O: 0.133 0.383 0.754
O: 0.633 0.117 0.254

Summary:
**Total magnetization**: 0.5000 μB/atom
**DOS(E_F)**: 15.2 states/eV/cell
**Energy**: -0.307 Ha/atom